(1)
Computed, not measured: a geometry-optimized Cr11Re4 structure at the PBEsol level of DFT.

```
30
Lattice="8.929 0.000 0.000 0.000 8.929 0.000 0.000 0.000 4.608" Properties=species:S:1:pos:R:3 pbc="T T T"
Cr 0.000 0.000 0.000
Cr 0.557 2.224 0.000
Cr 0.844 0.844 2.304
Cr 1.666 7.263 1.168
Cr 1.666 7.263 3.440
Cr 2.224 0.557 0.000
Cr 2.241 5.021 2.304
Cr 2.798 2.798 1.136
Cr 2.798 2.798 3.473
Cr 3.620 5.308 0.000
Cr 3.908 6.688 2.304
Cr 4.464 4.464 2.304
Cr 5.021 2.241 2.304
Cr 5.308 3.620 0.000
Cr 6.131 6.131 1.136
Cr 6.131 6.131 3.473
Cr 6.688 3.908 2.304
Cr 6.705 8.372 0.000
Cr 7.263 1.666 1.168
Cr 7.263 1.666 3.440
Cr 8.085 8.085 2.304
Cr 8.372 6.705 0.000
Re 0.314 3.225 2.304
Re 1.240 4.778 0.000
Re 3.225 0.314 2.304
Re 4.151 7.689 0.000
Re 4.778 1.240 0.000
Re 5.704 8.615 2.304
Re 7.689 4.151 0.000
Re 8.615 5.704 2.304
```

For the density of states at the Fermi level, the calculation gives 18.2 states/eV/f.u. The energy comes out at -330.2 eV per cell. The value obtained for the energy of formation is 58 meV per atom. As for the calculated volume: 367 Å³ per cell.

---

(2)
Computed, not measured: a geometry-optimized CrRe2 structure at the PBEsol level of DFT.

```
30
Lattice="9.150 0.000 0.000 0.000 9.150 0.000 0.000 0.000 4.933" Properties=species:S:1:pos:R:3 pbc="T T T"
Cr 0.000 0.000 0.000
Cr 0.323 3.413 2.466
Cr 1.162 4.898 0.000
Cr 3.413 0.323 2.466
Cr 4.252 7.988 0.000
Cr 4.575 4.575 2.466
Cr 4.898 1.162 0.000
Cr 5.737 8.827 2.466
Cr 7.988 4.252 0.000
Cr 8.827 5.737 2.466
Re 0.579 2.431 0.000
Re 0.957 0.957 2.466
Re 1.656 7.494 1.237
Re 1.656 7.494 3.695
Re 2.144 5.154 2.466
Re 2.431 0.579 0.000
Re 2.919 2.919 1.229
Re 2.919 2.919 3.703
Re 3.618 5.532 0.000
Re 3.996 7.006 2.466
Re 5.154 2.144 2.466
Re 5.532 3.618 0.000
Re 6.231 6.231 1.229
Re 6.231 6.231 3.703
Re 6.719 8.571 0.000
Re 7.006 3.996 2.466
Re 7.494 1.656 1.237
Re 7.494 1.656 3.695
Re 8.193 8.193 2.466
Re 8.571 6.719 0.000
```

For the density of states at the Fermi level, the calculation gives 2.8 states/eV/f.u. The energy comes out at -365.9 eV per cell. The value obtained for the energy of formation is 105 meV per atom. As for the calculated volume: 413 Å³ per cell.

---

(3)
Computed, not measured: a geometry-optimized Cr2Re structure at the PBEsol level of DFT.

```
6
Lattice="0.000 3.320 3.320 3.320 0.000 3.320 3.320 3.320 0.000" Properties=species:S:1:pos:R:3 pbc="T T T"
Cr 0.000 0.000 0.000
Cr 1.660 1.660 0.000
Cr 1.660 0.000 1.660
Cr 0.000 1.660 1.660
Re 2.490 2.490 2.490
Re 4.151 4.151 4.151
```

For the density of states at the Fermi level, the calculation gives 3.4 states/eV/f.u. The energy comes out at -67.6 eV per cell. The value obtained for the energy of formation is 1 meV per atom. As for the calculated volume: 73 Å³ per cell.

---

(4)
Computed, not measured: a geometry-optimized CrRe5 structure at the PBEsol level of DFT.

```
6
Lattice="4.414 0.000 0.000 0.000 1.366 7.045 0.000 -1.366 7.045" Properties=species:S:1:pos:R:3 pbc="T T T"
Cr 0.000 0.000 0.000
Re 0.000 0.000 4.768
Re 0.000 0.000 9.372
Re 2.207 0.000 1.554
Re 2.207 0.000 6.312
Re 2.207 0.000 10.982
```

For the density of states at the Fermi level, the calculation gives 6.8 states/eV/f.u. The energy comes out at -76.3 eV per cell. The value obtained for the energy of formation is 99 meV per atom. As for the calculated volume: 85 Å³ per cell.

---

Question: Look up the energy of formation of the second one.
Answer: 105 meV per atom